Record 1
## AcNb2Se6 (PBE)

Data for AcNb2Se6 after structural relaxation.

```
AcNb2Se6
1.0
-3.281 2.210 3.394
0.482 -2.652 6.196
4.379 5.499 4.656
Ac Nb Se
1 2 6
Direct
0.000 0.500 0.500
0.194 0.687 0.926
0.806 0.313 0.074
0.704 0.703 0.889
0.296 0.297 0.111
0.973 0.872 0.182
0.340 0.716 0.604
0.027 0.128 0.818
0.660 0.284 0.396
```

Output
Its formation energy without anion corrections is -0.942 eV/atom.

***

Record 2
## Pr3Sm2Th (PBE)

Data for Pr3Sm2Th after structural relaxation.

```
Pr3Sm2Th
1.0
4.811 -0.070 -1.908
-3.614 8.670 -2.412
1.041 0.053 9.642
Pr Sm Th
6 4 2
Direct
0.493 0.825 0.661
0.993 0.661 0.825
0.500 0.500 0.000
0.507 0.175 0.339
0.000 0.000 0.500
0.007 0.339 0.175
0.250 0.083 0.917
0.250 0.747 0.253
0.750 0.917 0.083
0.750 0.253 0.747
0.250 0.419 0.581
0.750 0.581 0.419
```

Output
Its energy of formation from the pure elements is 0.042 eV per atom. For the relative energy among the computed polymorphs, the calculation gives 0.00 eV per formula unit.

***

Record 3
## GdY2Au (PBE)

Data for GdY2Au after structural relaxation.

```
GdY2Au
1.0
3.604 0.000 0.000
0.000 3.604 0.000
0.000 0.000 8.746
Y Gd Au
2 1 1
Direct
0.000 0.000 0.797
0.000 0.000 0.203
0.500 0.500 0.500
0.500 0.500 0.000
```

Output
Its energy of formation from the pure elements is -0.394 eV per atom. For the relative energy among the computed polymorphs, the calculation gives 0.00 eV per formula unit.

***

Record 4
## LiCa4Zr (PBE)

Data for LiCa4Zr after structural relaxation.

```
LiCa4Zr
1.0
1.780 -6.350 1.618
-0.670 -2.190 6.392
-4.774 -4.577 1.538
Li Ca Zr
1 4 1
Direct
0.750 0.750 0.750
0.877 0.374 0.374
0.374 0.374 0.877
0.374 0.877 0.374
0.374 0.374 0.374
0.000 0.000 0.000
```

Output
Its energy of formation from the pure elements is 0.613 eV per atom.

***

Record 5
## FeNi2W (PBE)

Data for FeNi2W after structural relaxation.

```
FeNi2W
1.0
3.020 -0.543 2.709
1.451 3.190 2.114
-0.764 0.317 4.008
Ni Fe W
2 1 1
Direct
0.250 0.250 0.250
0.750 0.750 0.750
0.000 0.000 0.000
0.500 0.500 0.500
```

Output
Its energy of formation from the pure elements is 0.287 eV per atom. For the relative energy among the computed polymorphs, the calculation gives 1.22 eV per formula unit.

***

Record 6
## CeSn3Pd3 (PBE)

Data for CeSn3Pd3 after structural relaxation.

```
CeSn3Pd3
1.0
-6.042 3.970 0.732
-4.037 -5.930 -1.158
-0.035 -1.369 7.136
Pd Sn Ce
6 6 2
Direct
0.250 0.000 0.500
0.000 0.500 0.250
0.500 0.750 0.000
0.750 0.000 0.500
0.000 0.500 0.750
0.500 0.250 0.000
0.000 0.250 0.500
0.000 0.750 0.500
0.500 0.000 0.750
0.750 0.500 0.000
0.500 0.000 0.250
0.250 0.500 0.000
0.500 0.500 0.500
0.000 0.000 0.000
```

Output
Its energy of formation from the pure elements is -0.198 eV per atom.

***

Record 7
## AcLaSn2Pd5 (PBE)

Data for AcLaSn2Pd5 after structural relaxation.

```
AcLaSn2Pd5
1.0
4.663 0.000 0.000
0.000 4.663 0.000
0.000 0.000 9.176
Ac La Sn Pd
1 1 2 5
Direct
0.000 0.000 0.500
0.000 0.000 0.000
0.500 0.500 0.154
0.500 0.500 0.846
0.000 0.500 0.286
0.500 0.000 0.286
0.000 0.500 0.714
0.500 0.000 0.714
0.500 0.500 0.500
```

Output
Its energy of formation from the pure elements is -0.743 eV per atom.

***

Record 8
## Ba2CaCd2 (PBE)

Data for Ba2CaCd2 after structural relaxation.

```
Ba2CaCd2
1.0
-5.540 -2.448 3.005
-1.048 -4.100 -5.272
-0.672 -6.637 0.961
Ca Ba Cd
1 2 2
Direct
0.000 0.000 0.000
0.750 0.250 0.500
0.250 0.750 0.500
0.355 0.355 0.289
0.645 0.645 0.711
```

Output
Its energy of formation from the pure elements is -0.124 eV per atom. For the relative energy among the computed polymorphs, the calculation gives 0.51 eV per formula unit.

***

no.,total energy (eV per cell),V (Å³ per atom)
1,-53.6,28.417
2,-61.9,34.847
3,-31.9,28.405
4,-14.8,36.893
5,-31.8,12.121
6,-69.8,27.409
7,-49.7,22.169
8,-8.3,43.431